(1)
The following is a PBE calculation of DyY2O4 after structural relaxation, from the Alexandria database.

Summary:
**N(E_F)**: 0.30 states/eV per atom
**Calculated total energy**: -8.535 eV per atom

a b c (Å): 11.885 3.443 5.879
angles (deg): 90.00 117.23 90.00
Space group C2/m (No. 12)
One atom of each set of equivalent atoms:
Dy 0.000 0.000 0.000 [2 per cell]
Y 0.202 0.500 0.702 [4 per cell]
O 0.133 0.000 0.427 [4 per cell]
O 0.144 0.500 0.020 [4 per cell]

***

(2)
The following is a PBE calculation of DyY3O6 after structural relaxation, from the Alexandria database.

Summary:
**E above lowest polymorph**: 0.027 eV/atom
**N(E_F)**: 0.00 states/eV per atom
**Calculated total energy**: -8.910 eV per atom

a b c (Å): 9.6711 9.6711 11.3799
angles (deg): 90.00 90.00 120.00
Space group R-3 (No. 148, hexagonal axes)
One atom of each set of equivalent atoms:
Dy 0.0000 0.0000 0.0000 [3 per cell]
Dy 0.0000 0.0000 0.5000 [3 per cell]
Y 0.0389 0.2657 0.2097 [18 per cell]
O 0.0264 0.2183 0.4028 [18 per cell]
O 0.0279 0.1878 0.8704 [18 per cell]

***

(3)
The following is a PBE calculation of DyY3O after structural relaxation, from the Alexandria database.

Summary:
**E above lowest polymorph**: 0.000 eV/atom
**N(E_F)**: 1.46 states/eV per atom
**Calculated total energy**: -6.897 eV per atom

a b c (Å): 7.130 6.326 5.635
angles (deg): 90.00 90.00 90.00
Space group Pmn2_1 (No. 31)
One atom of each set of equivalent atoms:
Dy 0.000 0.178 0.000 [2 per cell]
Y 0.000 0.827 0.486 [2 per cell]
Y 0.250 0.357 0.492 [4 per cell]
O 0.000 0.499 0.241 [2 per cell]

***

(4)
The following is a PBE calculation of DyYO3 after structural relaxation, from the Alexandria database.

Summary:
**N(E_F)**: 0.00 states/eV per atom
**Calculated total energy**: -8.552 eV per atom

a b c (Å): 5.9703 5.9703 3.0606
angles (deg): 90.00 90.00 120.00
Space group P-6m2 (No. 187)
One atom of each set of equivalent atoms:
Dy 0.0000 0.0000 0.0000 [1 per cell]
Y 0.3333 0.6667 0.0000 [1 per cell]
O 0.1663 0.3326 0.5000 [3 per cell]

***

Q: Which value of calculated total energy does entry 2 give?
A: -8.910 eV per atom